Entry 1:
Entry from the Alexandria database: crystalline Sc2Ga3Pd at its relaxed geometry (PBE).

Cell lengths 8.762, 8.258, 5.422 Å; angles 76.55, 66.45, 37.00 degrees
Positions (direct):
Sc1 0.247 0.753 0.753
Sc2 0.250 0.250 0.250
Sc3 0.750 0.750 0.750
Sc4 0.753 0.247 0.247
Ga1 0.164 0.669 0.331
Ga2 0.331 0.836 0.164
Ga3 0.334 0.334 0.666
Ga4 0.666 0.666 0.334
Ga5 0.669 0.164 0.836
Ga6 0.836 0.331 0.669
Pd1 0.169 0.169 0.831
Pd2 0.831 0.831 0.169

Energy of formation   -717 meV/atom
Fermi-level density of states   4.1 states/eV/f.u.

Entry 2:
Entry from the Alexandria database: crystalline Al4GaNi2 at its relaxed geometry (PBE).

Cell lengths 8.458, 8.458, 8.458 Å; angles 27.35, 27.35, 27.35 degrees
Positions (direct):
Al1 0.098 0.098 0.098
Al2 0.302 0.302 0.302
Al3 0.698 0.698 0.698
Al4 0.902 0.902 0.902
Ga1 0.500 0.500 0.500
Ni1 0.403 0.403 0.403
Ni2 0.597 0.597 0.597

Energy of formation   -362 meV/atom
Fermi-level density of states   2.6 states/eV/f.u.

Entry 3:
Entry from the Alexandria database: crystalline La3GaGe2 at its relaxed geometry (PBE).

Cell lengths 12.342, 4.347, 12.298 Å; angles 90.00, 90.00, 90.00 degrees
Positions (direct):
La1 0.059 0.250 0.118
La2 0.122 0.750 0.560
La3 0.201 0.250 0.797
La4 0.299 0.750 0.297
La5 0.378 0.250 0.060
La6 0.441 0.750 0.618
La7 0.559 0.250 0.382
La8 0.622 0.750 0.940
La9 0.701 0.250 0.703
La10 0.799 0.750 0.203
La11 0.878 0.250 0.440
La12 0.941 0.750 0.882
Ga1 0.135 0.250 0.364
Ga2 0.365 0.750 0.864
Ga3 0.635 0.250 0.136
Ga4 0.865 0.750 0.636
Ge1 0.023 0.750 0.314
Ge2 0.192 0.750 0.993
Ge3 0.308 0.250 0.493
Ge4 0.477 0.250 0.814
Ge5 0.523 0.750 0.186
Ge6 0.692 0.750 0.507
Ge7 0.808 0.250 0.007
Ge8 0.977 0.250 0.686

Energy of formation   -743 meV/atom
Fermi-level density of states   4.7 states/eV/f.u.

Entry 4:
Entry from the Alexandria database: crystalline BiC2Cl at its relaxed geometry (PBE).

Cell lengths 4.427, 4.427, 4.427 Å; angles 60.00, 60.00, 60.00 degrees
Positions (direct):
Bi1 0.000 0.000 0.000
C1 0.250 0.250 0.250
C2 0.750 0.750 0.750
Cl1 0.500 0.500 0.500

Fermi-level density of states   2.0 states/eV/f.u.
E_form (uncorrected)   2.53 eV per atom